# 1
# AlCdIrO6

An optimized crystal structure of AlCdIrO6 (GGA-PBE, Alexandria).

Its total energy is -6.0975 eV/atom. The formation energy from raw total energies is -1.290 eV/atom. The value obtained for the magnetization is 0.00 μB/cell.

Unit cell a=5.0800 b=5.0800 c=9.6443 alpha=90.00 beta=90.00 gamma=120.00
Space group P-31c (No. 163)
Inequivalent atoms, fractional coordinates:
1 Al 0.3333 0.6667 0.2500 [2 per cell]
2 Cd 0.0000 0.0000 0.0000 [2 per cell]
3 Ir 0.3333 0.6667 0.7500 [2 per cell]
4 O 0.0026 0.3695 0.1428 [12 per cell]

# 2
# CuGeB3

An optimized crystal structure of CuGeB3 (GGA-PBE, Alexandria).

The value obtained for the formation energy is 1.64 eV per atom. Its total energy is -4.1113 eV/atom. The value obtained for the magnetization is 0.00 μB/cell. For the excess energy over the best structure of this formula in the dataset, the calculation gives 0.00 eV per formula unit.

Unit cell a=3.946 b=3.946 c=3.946 alpha=90.00 beta=90.00 gamma=90.00
Space group Pm-3m (No. 221)
Inequivalent atoms, fractional coordinates:
1 Cu 0.000 0.000 0.000 [1 per cell]
2 Ge 0.500 0.500 0.500 [1 per cell]
3 B 0.000 0.000 0.500 [3 per cell]

# 3
# Al2Ga4W

An optimized crystal structure of Al2Ga4W (GGA-PBE, Alexandria).

The value obtained for the formation energy is 0.40 eV per atom. Its total energy is -4.2505 eV/atom. The value obtained for the magnetization is 0.18 μB/cell.

Unit cell a=6.645 b=6.645 c=5.118 alpha=90.00 beta=90.00 gamma=90.00
Space group I-42m (No. 121)
Inequivalent atoms, fractional coordinates:
1 Al 0.000 0.500 0.250 [4 per cell]
2 Ga 0.196 0.196 0.011 [8 per cell]
3 W 0.000 0.000 0.500 [2 per cell]

# 4
# CsIrSe2N

An optimized crystal structure of CsIrSe2N (GGA-PBE, Alexandria).

Its total energy is -2.3349 eV/atom. The formation energy from raw total energies is 2.667 eV/atom. The value obtained for the magnetization is 4.88 μB/cell. For the excess energy over the best structure of this formula in the dataset, the calculation gives 12.60 eV per formula unit.

Unit cell a=5.853 b=5.853 c=4.396 alpha=90.00 beta=90.00 gamma=90.00
Space group P4/mmm (No. 123)
Inequivalent atoms, fractional coordinates:
1 Cs 0.000 0.000 0.000 [1 per cell]
2 Ir 0.500 0.500 0.500 [1 per cell]
3 Se 0.000 0.500 0.000 [2 per cell]
4 N 0.000 0.000 0.500 [1 per cell]

# 5
# NdErGaSn

An optimized crystal structure of NdErGaSn (GGA-PBE, Alexandria).

The value obtained for the formation energy is -0.69 eV per atom. Its total energy is -4.7774 eV/atom. The value obtained for the magnetization is 0.00 μB/cell. For the excess energy over the best structure of this formula in the dataset, the calculation gives 0.00 eV per formula unit.

Unit cell a=4.197 b=4.525 c=11.309 alpha=90.00 beta=90.00 gamma=90.00
Space group Amm2 (No. 38)
Inequivalent atoms, fractional coordinates:
1 Nd 0.000 0.000 0.000 [2 per cell]
2 Er 0.500 0.000 0.278 [2 per cell]
3 Ga 0.500 0.000 0.552 [2 per cell]
4 Sn 0.000 0.000 0.717 [2 per cell]